{
  "formula": "VBiO4",
  "functional": "GGA+U",
  "state": "optimized geometry",
  "total_energy_ev_per_atom": -6.81,
  "magmom_total_mub_per_fu": 0.00,
  "lattice_angstrom": [[-3.608, -2.876, 1.383], [0.801, -1.237, 4.586], [-3.406, 1.984, 3.673]],
  "species": ["V", "Bi", "O", "O", "O", "O"],
  "frac_coords": [[0.892, 0.108, 0.000], [0.311, 0.689, 0.500], [0.182, 0.068, 0.663], [0.521, 0.088, 0.043], [0.932, 0.818, 0.337], [0.912, 0.479, 0.957]]
}